[1]
This record from Alexandria via LeMat-Bulk describes a geometry-optimized TbCu3Si3 structure. The functional is GGA-PBE.

Computed properties:
The value obtained for the uncorrected formation energy is 0.114 eV per atom. As for the space-group type: Pm-3n. The value obtained for the density of states at the Fermi level is 0.51 states/eV/atom.

Cell lengths 6.3849, 6.3849, 6.3849 Å; angles 90.00, 90.00, 90.00 degrees
Positions (direct):
Cu 0.5000 0.2500 0.0000
Cu 0.0000 0.5000 0.2500
Cu 0.5000 0.7500 0.0000
Cu 0.7500 0.0000 0.5000
Cu 0.0000 0.5000 0.7500
Cu 0.2500 0.0000 0.5000
Si 0.7500 0.5000 0.0000
Si 0.2500 0.5000 0.0000
Si 0.5000 0.0000 0.2500
Si 0.0000 0.2500 0.5000
Si 0.5000 0.0000 0.7500
Si 0.0000 0.7500 0.5000
Tb 0.0000 0.0000 0.0000
Tb 0.5000 0.5000 0.5000

[2]
This record from Alexandria via LeMat-Bulk describes a geometry-optimized CoPOs structure. The functional is GGA-PBE.

Computed properties:
As for the space-group type: Imm2. The value obtained for the density of states at the Fermi level is 1.19 states/eV/atom. Its formation enthalpy at 0 K is 0.22 eV/atom. Its energy above the most stable polymorph in this dataset is 42.0 kJ per mole of atoms.

Cell lengths 4.2733, 4.2733, 4.2733 Å; angles 141.12, 128.61, 66.27 degrees
Site moments in Bohr magnetons follow the coordinates.
Positions (direct):
P 0.3276 0.3276 0.0000  0.00
Co 0.0121 0.0121 0.0000  1.15
Os 0.6603 0.6603 0.0000  0.27